# 1
DFT (meta-GGA SCAN) results for TaSiHgH2 at its PBEsol-relaxed geometry. Values from VASP.

Structure (Quantum ESPRESSO input):
```
&SYSTEM
  ibrav = 0, nat = 5, ntyp = 4
/
ATOMIC_SPECIES
Ta 180.95 Ta.upf
Si 28.09 Si.upf
Hg 200.59 Hg.upf
H 1.01 H.upf
CELL_PARAMETERS angstrom
3.561 0.000 0.000
0.000 3.561 0.000
0.000 0.000 5.903
ATOMIC_POSITIONS crystal
Ta 0.000 0.000 0.000
Si 0.500 0.500 0.000
Hg 0.000 0.000 0.500
H 0.000 0.500 0.500
H 0.500 0.000 0.500
```

**DOS(E_F)**: 1.54 states/eV per cell


# 2
DFT (meta-GGA SCAN) results for BaTiReO2 at its PBEsol-relaxed geometry. Values from VASP.

Structure (Quantum ESPRESSO input):
```
&SYSTEM
  ibrav = 0, nat = 5, ntyp = 4
/
ATOMIC_SPECIES
Ba 137.33 Ba.upf
Ti 47.87 Ti.upf
Re 186.21 Re.upf
O 16.00 O.upf
CELL_PARAMETERS angstrom
4.044 0.000 0.000
0.000 4.044 0.000
0.000 0.000 4.895
ATOMIC_POSITIONS crystal
Ba 0.000 0.000 0.000
Ti 0.500 0.500 0.500
Re 0.500 0.500 0.000
O 0.000 0.500 0.500
O 0.500 0.000 0.500
```

**DOS(E_F)**: 2.71 states/eV per cell
**Uncorrected formation energy**: -0.680 eV per atom


# 3
DFT (meta-GGA SCAN) results for SbAs2Au at its PBEsol-relaxed geometry. Values from VASP.

Structure (Quantum ESPRESSO input):
```
&SYSTEM
  ibrav = 0, nat = 4, ntyp = 3
/
ATOMIC_SPECIES
Sb 121.76 Sb.upf
As 74.92 As.upf
Au 196.97 Au.upf
CELL_PARAMETERS angstrom
3.855 0.000 0.000
0.000 2.765 3.938
0.000 -2.765 3.938
ATOMIC_POSITIONS crystal
Sb 0.000 0.000 0.000
As 0.000 0.482 0.482
As 0.500 0.732 0.732
Au 0.500 0.251 0.251
```

**DOS(E_F)**: 1.89 states/eV per cell
**Uncorrected formation energy**: 0.008 eV per atom


# 4
DFT (meta-GGA SCAN) results for Ta2NiRh at its PBEsol-relaxed geometry. Values from VASP.

Structure (Quantum ESPRESSO input):
```
&SYSTEM
  ibrav = 0, nat = 4, ntyp = 3
/
ATOMIC_SPECIES
Ta 180.95 Ta.upf
Ni 58.69 Ni.upf
Rh 102.91 Rh.upf
CELL_PARAMETERS angstrom
4.518 -1.414 0.000
4.518 1.414 0.000
-0.937 0.000 4.655
ATOMIC_POSITIONS crystal
Ta 0.000 0.000 0.000
Ta 0.233 0.233 0.669
Ni 0.491 0.491 0.493
Rh 0.755 0.755 0.200
```

**DOS(E_F)**: 2.88 states/eV per cell
**Energy of formation**: -0.291 eV per atom


# 5
DFT (meta-GGA SCAN) results for Ru2WSe at its PBEsol-relaxed geometry. Values from VASP.

Structure (Quantum ESPRESSO input):
```
&SYSTEM
  ibrav = 0, nat = 4, ntyp = 3
/
ATOMIC_SPECIES
Ru 101.07 Ru.upf
W 183.84 W.upf
Se 78.96 Se.upf
CELL_PARAMETERS angstrom
-1.932 1.932 3.849
1.932 -1.932 3.849
1.932 1.932 -3.849
ATOMIC_POSITIONS crystal
Ru 0.250 0.750 0.500
Ru 0.750 0.250 0.500
W 0.000 0.000 0.000
Se 0.500 0.500 0.000
```

**DOS(E_F)**: 4.40 states/eV per cell
**Uncorrected formation energy**: 0.515 eV per atom


# 6
DFT (meta-GGA SCAN) results for CrPtC2 at its PBEsol-relaxed geometry. Values from VASP.

Structure (Quantum ESPRESSO input):
```
&SYSTEM
  ibrav = 0, nat = 8, ntyp = 3
/
ATOMIC_SPECIES
Cr 52.00 Cr.upf
Pt 195.08 Pt.upf
C 12.01 C.upf
CELL_PARAMETERS angstrom
-2.265 2.265 4.438
2.265 -2.265 4.438
2.265 2.265 -4.438
ATOMIC_POSITIONS crystal
Cr 0.000 0.000 0.000
Cr 0.750 0.250 0.500
Pt 0.250 0.750 0.500
Pt 0.500 0.500 0.000
C 0.096 0.625 0.971
C 0.375 0.346 0.471
C 0.654 0.125 0.029
C 0.875 0.904 0.529
```

**DOS(E_F)**: 4.43 states/eV per cell
**Energy of formation**: 0.597 eV per atom


# 7
DFT (meta-GGA SCAN) results for Al2SbCl at its PBEsol-relaxed geometry. Values from VASP.

Structure (Quantum ESPRESSO input):
```
&SYSTEM
  ibrav = 0, nat = 4, ntyp = 3
/
ATOMIC_SPECIES
Al 26.98 Al.upf
Sb 121.76 Sb.upf
Cl 35.45 Cl.upf
CELL_PARAMETERS angstrom
-1.580 2.273 5.928
1.580 -2.273 5.928
1.580 2.273 -5.928
ATOMIC_POSITIONS crystal
Al 0.000 0.000 0.000
Al 0.805 0.305 0.500
Sb 0.597 0.597 0.000
Cl 0.314 0.814 0.500
```

**DOS(E_F)**: 0.81 states/eV per cell
**ΔE to the lowest computed polymorph**: 0 meV/atom
**Uncorrected formation energy**: -0.111 eV per atom


# 8
DFT (meta-GGA SCAN) results for AgTe2 at its PBEsol-relaxed geometry. Values from VASP.

Structure (Quantum ESPRESSO input):
```
&SYSTEM
  ibrav = 0, nat = 3, ntyp = 2
/
ATOMIC_SPECIES
Ag 107.87 Ag.upf
Te 127.60 Te.upf
CELL_PARAMETERS angstrom
1.981 1.144 5.653
-1.981 1.144 5.653
0.000 -2.287 5.653
ATOMIC_POSITIONS crystal
Ag 0.000 0.000 0.000
Te 0.236 0.236 0.236
Te 0.764 0.764 0.764
```

**DOS(E_F)**: 1.70 states/eV per cell
**Uncorrected formation energy**: 0.098 eV per atom


# 9
DFT (meta-GGA SCAN) results for KCoAu2 at its PBEsol-relaxed geometry. Values from VASP.

Structure (Quantum ESPRESSO input):
```
&SYSTEM
  ibrav = 0, nat = 4, ntyp = 3
/
ATOMIC_SPECIES
K 39.10 K.upf
Co 58.93 Co.upf
Au 196.97 Au.upf
CELL_PARAMETERS angstrom
1.456 0.841 9.692
-1.456 0.841 9.692
0.000 -1.682 9.692
ATOMIC_POSITIONS crystal
K 0.000 0.000 0.000
Co 0.500 0.500 0.500
Au 0.237 0.237 0.237
Au 0.763 0.763 0.763
```

**DOS(E_F)**: 1.40 states/eV per cell
**ΔE to the lowest computed polymorph**: 199 meV/atom
**Energy of formation**: 0.270 eV per atom


# 10
DFT (meta-GGA SCAN) results for MgZnTc2 at its PBEsol-relaxed geometry. Values from VASP.

Structure (Quantum ESPRESSO input):
```
&SYSTEM
  ibrav = 0, nat = 4, ntyp = 3
/
ATOMIC_SPECIES
Mg 24.30 Mg.upf
Zn 65.41 Zn.upf
Tc 98.00 Tc.upf
CELL_PARAMETERS angstrom
0.000 3.061 3.061
3.061 0.000 3.061
3.061 3.061 0.000
ATOMIC_POSITIONS crystal
Mg 0.000 0.000 0.000
Zn 0.500 0.500 0.500
Tc 0.250 0.250 0.250
Tc 0.750 0.750 0.750
```

**DOS(E_F)**: 3.10 states/eV per cell
**ΔE to the lowest computed polymorph**: 549 meV/atom
**Energy of formation**: 0.442 eV per atom


# 11
DFT (meta-GGA SCAN) results for Sr2LiW at its PBEsol-relaxed geometry. Values from VASP.

Structure (Quantum ESPRESSO input):
```
&SYSTEM
  ibrav = 0, nat = 4, ntyp = 3
/
ATOMIC_SPECIES
Sr 87.62 Sr.upf
Li 6.94 Li.upf
W 183.84 W.upf
CELL_PARAMETERS angstrom
3.373 0.000 0.000
0.000 3.373 0.000
0.000 0.000 9.233
ATOMIC_POSITIONS crystal
Sr 0.000 0.000 0.000
Sr 0.500 0.500 0.386
Li 0.500 0.500 0.764
W 0.000 0.000 0.631
```

**DOS(E_F)**: 3.03 states/eV per cell
**ΔE to the lowest computed polymorph**: 44 meV/atom
**Energy of formation**: 1.073 eV per atom


# 12
DFT (meta-GGA SCAN) results for Be2AlCl at its PBEsol-relaxed geometry. Values from VASP.

Structure (Quantum ESPRESSO input):
```
&SYSTEM
  ibrav = 0, nat = 4, ntyp = 3
/
ATOMIC_SPECIES
Be 9.01 Be.upf
Al 26.98 Al.upf
Cl 35.45 Cl.upf
CELL_PARAMETERS angstrom
0.000 3.104 3.104
3.104 0.000 3.104
3.104 3.104 0.000
ATOMIC_POSITIONS crystal
Be 0.250 0.250 0.250
Be 0.750 0.750 0.750
Al 0.000 0.000 0.000
Cl 0.500 0.500 0.500
```

**DOS(E_F)**: 3.16 states/eV per cell
**ΔE to the lowest computed polymorph**: 1144 meV/atom
**Uncorrected formation energy**: 1.070 eV per atom


# 13
DFT (meta-GGA SCAN) results for CaZnSi at its PBEsol-relaxed geometry. Values from VASP.

Structure (Quantum ESPRESSO input):
```
&SYSTEM
  ibrav = 0, nat = 3, ntyp = 3
/
ATOMIC_SPECIES
Ca 40.08 Ca.upf
Zn 65.41 Zn.upf
Si 28.09 Si.upf
CELL_PARAMETERS angstrom
4.110 0.000 0.000
-2.055 3.559 0.000
0.000 0.000 4.275
ATOMIC_POSITIONS crystal
Ca 0.000 0.000 0.000
Zn 0.667 0.333 0.500
Si 0.333 0.667 0.500
```

**DOS(E_F)**: 1.08 states/eV per cell
**Uncorrected formation energy**: -0.461 eV per atom


# 14
DFT (meta-GGA SCAN) results for Cr2P3O12 at its PBEsol-relaxed geometry. Values from VASP.

Structure (Quantum ESPRESSO input):
```
&SYSTEM
  ibrav = 0, nat = 34, ntyp = 3
/
ATOMIC_SPECIES
Cr 52.00 Cr.upf
P 30.97 P.upf
O 16.00 O.upf
CELL_PARAMETERS angstrom
4.182 2.414 7.049
-4.182 2.414 7.049
0.000 -4.829 7.049
ATOMIC_POSITIONS crystal
Cr 0.141 0.141 0.141
Cr 0.359 0.359 0.359
Cr 0.641 0.641 0.641
Cr 0.859 0.859 0.859
P 0.033 0.750 0.467
P 0.250 0.533 0.967
P 0.467 0.033 0.750
P 0.533 0.967 0.250
P 0.750 0.467 0.033
P 0.967 0.250 0.533
O 0.005 0.779 0.644
O 0.060 0.928 0.281
O 0.072 0.719 0.940
O 0.144 0.279 0.505
O 0.219 0.572 0.440
O 0.221 0.356 0.995
O 0.279 0.505 0.144
O 0.281 0.060 0.928
O 0.356 0.995 0.221
O 0.428 0.560 0.781
O 0.440 0.219 0.572
O 0.495 0.856 0.721
O 0.505 0.144 0.279
O 0.560 0.781 0.428
O 0.572 0.440 0.219
O 0.644 0.005 0.779
O 0.719 0.940 0.072
O 0.721 0.495 0.856
O 0.779 0.644 0.005
O 0.781 0.428 0.560
O 0.856 0.721 0.495
O 0.928 0.281 0.060
O 0.940 0.072 0.719
O 0.995 0.221 0.356
```

**DOS(E_F)**: 11.37 states/eV per cell
**ΔE to the lowest computed polymorph**: 2 meV/atom
**Uncorrected formation energy**: -2.216 eV per atom


# 15
DFT (meta-GGA SCAN) results for SrAlAg2 at its PBEsol-relaxed geometry. Values from VASP.

Structure (Quantum ESPRESSO input):
```
&SYSTEM
  ibrav = 0, nat = 4, ntyp = 3
/
ATOMIC_SPECIES
Sr 87.62 Sr.upf
Al 26.98 Al.upf
Ag 107.87 Ag.upf
CELL_PARAMETERS angstrom
3.245 0.000 0.000
0.000 4.231 0.000
-1.522 0.000 6.470
ATOMIC_POSITIONS crystal
Sr 0.000 0.000 0.000
Al 0.500 0.000 0.500
Ag 0.316 0.500 0.691
Ag 0.684 0.500 0.309
```

**DOS(E_F)**: 1.72 states/eV per cell
**Energy of formation**: -0.076 eV per atom


# 16
DFT (meta-GGA SCAN) results for CoPbIO2 at its PBEsol-relaxed geometry. Values from VASP.

Structure (Quantum ESPRESSO input):
```
&SYSTEM
  ibrav = 0, nat = 5, ntyp = 4
/
ATOMIC_SPECIES
Co 58.93 Co.upf
Pb 207.20 Pb.upf
I 126.90 I.upf
O 16.00 O.upf
CELL_PARAMETERS angstrom
4.129 0.000 0.000
0.000 4.129 0.000
0.000 0.000 4.962
ATOMIC_POSITIONS crystal
Co 0.000 0.000 0.000
Pb 0.500 0.500 0.500
I 0.000 0.000 0.500
O 0.000 0.500 0.000
O 0.500 0.000 0.000
```

**DOS(E_F)**: 2.91 states/eV per cell
**Uncorrected formation energy**: -0.105 eV per atom


# 17
DFT (meta-GGA SCAN) results for NaAl2TcMo at its PBEsol-relaxed geometry. Values from VASP.

Structure (Quantum ESPRESSO input):
```
&SYSTEM
  ibrav = 0, nat = 5, ntyp = 4
/
ATOMIC_SPECIES
Na 22.99 Na.upf
Al 26.98 Al.upf
Tc 98.00 Tc.upf
Mo 95.94 Mo.upf
CELL_PARAMETERS angstrom
4.621 0.000 0.000
0.000 4.621 0.000
0.000 0.000 4.866
ATOMIC_POSITIONS crystal
Na 0.000 0.000 0.000
Al 0.000 0.500 0.500
Al 0.500 0.000 0.500
Tc 0.000 0.000 0.500
Mo 0.500 0.500 0.000
```

**DOS(E_F)**: 2.22 states/eV per cell
**ΔE to the lowest computed polymorph**: 678 meV/atom
**Energy of formation**: 1.193 eV per atom


# 18
DFT (meta-GGA SCAN) results for Be2ReP at its PBEsol-relaxed geometry. Values from VASP.

Structure (Quantum ESPRESSO input):
```
&SYSTEM
  ibrav = 0, nat = 4, ntyp = 3
/
ATOMIC_SPECIES
Be 9.01 Be.upf
Re 186.21 Re.upf
P 30.97 P.upf
CELL_PARAMETERS angstrom
3.054 0.000 0.000
0.000 3.054 0.000
0.000 0.000 4.624
ATOMIC_POSITIONS crystal
Be 0.000 0.000 0.248
Be 0.000 0.000 0.752
Re 0.500 0.500 0.000
P 0.500 0.500 0.500
```

**DOS(E_F)**: 1.03 states/eV per cell
**ΔE to the lowest computed polymorph**: 0 meV/atom
**Energy of formation**: -0.181 eV per atom


# 19
DFT (meta-GGA SCAN) results for ZrOsPd2O at its PBEsol-relaxed geometry. Values from VASP.

Structure (Quantum ESPRESSO input):
```
&SYSTEM
  ibrav = 0, nat = 5, ntyp = 4
/
ATOMIC_SPECIES
Zr 91.22 Zr.upf
Os 190.23 Os.upf
Pd 106.42 Pd.upf
O 16.00 O.upf
CELL_PARAMETERS angstrom
4.697 0.000 0.000
0.000 4.697 0.000
0.000 0.000 4.917
ATOMIC_POSITIONS crystal
Zr 0.000 0.000 0.000
Os 0.000 0.000 0.500
Pd 0.000 0.500 0.500
Pd 0.500 0.000 0.500
O 0.500 0.500 0.000
```

**DOS(E_F)**: 4.69 states/eV per cell
**Uncorrected formation energy**: 1.115 eV per atom


# 20
DFT (meta-GGA SCAN) results for ZnGaSb2O at its PBEsol-relaxed geometry. Values from VASP.

Structure (Quantum ESPRESSO input):
```
&SYSTEM
  ibrav = 0, nat = 5, ntyp = 4
/
ATOMIC_SPECIES
Zn 65.41 Zn.upf
Ga 69.72 Ga.upf
Sb 121.76 Sb.upf
O 16.00 O.upf
CELL_PARAMETERS angstrom
5.090 0.000 0.000
0.000 5.090 0.000
0.000 0.000 4.596
ATOMIC_POSITIONS crystal
Zn 0.000 0.000 0.000
Ga 0.000 0.000 0.500
Sb 0.000 0.500 0.000
Sb 0.500 0.000 0.000
O 0.500 0.500 0.500
```

**DOS(E_F)**: 2.60 states/eV per cell
**Uncorrected formation energy**: 0.814 eV per atom


Number 1: calculated total energy -2.1835 Ry per atom. Number 2: calculated total energy -2.0953 Ry per atom. Number 3: calculated total energy -2.6968 Ry per atom. Number 4: calculated total energy -3.3860 Ry per atom. Number 5: calculated total energy -2.8914 Ry per atom. Number 6: calculated total energy -1.9548 Ry per atom. Number 7: calculated total energy -1.1243 Ry per atom. Number 8: calculated total energy -2.5865 Ry per atom. Number 9: calculated total energy -2.9926 Ry per atom. Number 10: calculated total energy -1.5956 Ry per atom. Number 11: calculated total energy -2.0642 Ry per atom. Number 12: calculated total energy -0.3703 Ry per atom. Number 13: calculated total energy -0.8471 Ry per atom. Number 14: calculated total energy -0.7800 Ry per atom. Number 15: calculated total energy -1.7100 Ry per atom. Number 16: calculated total energy -2.0993 Ry per atom. Number 17: calculated total energy -1.2304 Ry per atom. Number 18: calculated total energy -1.6708 Ry per atom. Number 19: calculated total energy -2.4811 Ry per atom. Number 20: calculated total energy -1.5661 Ry per atom.